Run w
DFT (GGA-PBE) results for a geometry-optimized Y2Si3Ni2 structure.

Output
size of the total moment: 0.0 μB/f.u.
space-group type: Cmcm (63)
density of states at the Fermi level: 0.522 states/eV per atom

Cell lengths 8.8858, 8.8858, 6.6016 Å; angles 90.00, 90.00, 153.41 degrees
With the nearest neighbours (Å) after each atom.
Element x y z (fractional)
Y: 0.0529 0.9471 0.7500  9 Si 2.93-3.12
Y: 0.1580 0.8420 0.2500  6 Ni 2.86-2.93, 6 Si 2.88-2.89
Y: 0.8420 0.1580 0.7500  6 Ni 2.86-2.93, 6 Si 2.88-2.89
Y: 0.9471 0.0529 0.2500  9 Si 2.93-3.12
Si: 0.2236 0.7764 0.7500  6 Ni 2.46-2.47
Si: 0.4361 0.5639 0.5667  2 Si 2.38-2.42, 1 Ni 2.40
Si: 0.4361 0.5639 0.9333  2 Si 2.38-2.42, 1 Ni 2.40
Si: 0.5639 0.4361 0.0667  2 Si 2.38-2.42, 1 Ni 2.40
Si: 0.5639 0.4361 0.4333  2 Si 2.38-2.42, 1 Ni 2.40
Si: 0.7764 0.2236 0.2500  6 Ni 2.46-2.47
Ni: 0.3056 0.6944 0.0544  4 Si 2.40-2.47, 1 Ni 2.58
Ni: 0.3056 0.6944 0.4456  4 Si 2.40-2.47, 1 Ni 2.58
Ni: 0.6944 0.3056 0.5544  4 Si 2.40-2.47, 1 Ni 2.58
Ni: 0.6944 0.3056 0.9456  4 Si 2.40-2.47, 1 Ni 2.58

Run x
DFT (GGA-PBE) results for a geometry-optimized Y2Si3Ni2 structure.

Output
size of the total moment: 0.0 μB/f.u.
space-group type: C2/m (12)
density of states at the Fermi level: 0.460 states/eV per atom

Cell lengths 5.4063, 5.4063, 6.3718 Å; angles 114.32, 114.32, 43.33 degrees
With the nearest neighbours (Å) after each atom.
Element x y z (fractional)
Y: 0.1488 0.1488 0.2792  4 Ni 2.81-3.04, 4 Si 2.86-3.10
Y: 0.8512 0.8512 0.7208  4 Ni 2.81-3.04, 4 Si 2.86-3.10
Si: 0.3858 0.3858 0.0623  3 Ni 2.40-2.41, 1 Si 2.50
Si: 0.5000 0.5000 0.5000  2 Si 2.50, 4 Ni 2.54
Si: 0.6142 0.6142 0.9377  3 Ni 2.40-2.41, 1 Si 2.50
Ni: 0.1380 0.1380 0.7485  5 Si 2.40-2.54
Ni: 0.8620 0.8620 0.2515  5 Si 2.40-2.54

Stability verdict: run w, ahead by 0.119 eV/atom

Run w
DFT (GGA-PBE) results for a geometry-optimized YSi2Ni4 structure.

Output
size of the total moment: 0.0 μB/f.u.
space-group type: Pnma (62)
density of states at the Fermi level: 0.651 states/eV per atom

Cell lengths 16.0160, 3.9473, 6.0818 Å; angles 90.00, 90.00, 90.00 degrees
With the nearest neighbours (Å) after each atom.
Element x y z (fractional)
Y: 0.1393 0.2500 0.0055  9 Ni 2.77-2.99, 4 Si 2.97-3.03
Y: 0.3607 0.7500 0.5055  9 Ni 2.77-2.99, 4 Si 2.97-3.03
Y: 0.6393 0.2500 0.4945  9 Ni 2.77-2.99, 4 Si 2.97-3.03
Y: 0.8607 0.7500 0.9945  9 Ni 2.77-2.99, 4 Si 2.97-3.03
Si: 0.0405 0.7500 0.2626  7 Ni 2.34-2.51
Si: 0.2174 0.2500 0.5255  7 Ni 2.28-2.38
Si: 0.2826 0.7500 0.0255  7 Ni 2.28-2.38
Si: 0.4595 0.2500 0.7626  7 Ni 2.34-2.51
Si: 0.5405 0.7500 0.2374  7 Ni 2.34-2.51
Si: 0.7174 0.2500 0.9745  7 Ni 2.28-2.38
Si: 0.7826 0.7500 0.4745  7 Ni 2.28-2.38
Si: 0.9595 0.2500 0.7374  7 Ni 2.34-2.51
Ni: 0.0252 0.7500 0.8516  3 Si 2.34-2.51, 1 Ni 2.62
Ni: 0.0724 0.2500 0.4935  4 Si 2.33-2.48
Ni: 0.1876 0.7500 0.3218  4 Si 2.36-2.38, 1 Ni 2.44
Ni: 0.1992 0.7500 0.7211  3 Si 2.28-2.32, 1 Ni 2.44
Ni: 0.3008 0.2500 0.2211  3 Si 2.28-2.32, 1 Ni 2.44
Ni: 0.3124 0.2500 0.8218  4 Si 2.36-2.38, 1 Ni 2.44
Ni: 0.4276 0.7500 0.9935  4 Si 2.33-2.48
Ni: 0.4748 0.2500 0.3516  3 Si 2.34-2.51, 1 Ni 2.62
Ni: 0.5252 0.7500 0.6484  3 Si 2.34-2.51, 1 Ni 2.62
Ni: 0.5724 0.2500 0.0065  4 Si 2.33-2.48
Ni: 0.6876 0.7500 0.1782  4 Si 2.36-2.38, 1 Ni 2.44
Ni: 0.6992 0.7500 0.7789  3 Si 2.28-2.32, 1 Ni 2.44
Ni: 0.8008 0.2500 0.2789  3 Si 2.28-2.32, 1 Ni 2.44
Ni: 0.8124 0.2500 0.6782  4 Si 2.36-2.38, 1 Ni 2.44
Ni: 0.9276 0.7500 0.5065  4 Si 2.33-2.48
Ni: 0.9748 0.2500 0.1484  3 Si 2.34-2.51, 1 Ni 2.62

Run x
DFT (GGA-PBE) results for a geometry-optimized YSi2Ni4 structure.

Output
size of the total moment: 0.0 μB/f.u.
space-group type: I4/mmm (139)
density of states at the Fermi level: 0.805 states/eV per atom

Cell lengths 6.8818, 6.8818, 6.8818 Å; angles 140.82, 140.82, 56.61 degrees
With the nearest neighbours (Å) after each atom.
Element x y z (fractional)
Y: 0.0000 0.0000 0.0000  4 Ni 2.31
Si: 0.4032 0.4032 0.0000  1 Ni 2.16, 1 Si 2.35
Si: 0.5968 0.5968 0.0000  1 Ni 2.16, 1 Si 2.35
Ni: 0.0000 0.5000 0.5000  2 Y 2.31
Ni: 0.2252 0.2252 0.0000  1 Si 2.16
Ni: 0.5000 0.0000 0.5000  2 Y 2.31
Ni: 0.7748 0.7748 0.0000  1 Si 2.16

Stability verdict: run w, ahead by 1.339 eV/atom

Run w
DFT (GGA-PBE) results for a geometry-optimized Y3Si3Ni structure.

Output
size of the total moment: 0.0 μB/f.u.
space-group type: C2/m (12)
density of states at the Fermi level: 0.717 states/eV per atom

Cell lengths 5.6053, 5.6053, 13.5852 Å; angles 109.09, 109.09, 44.02 degrees
With the nearest neighbours (Å) after each atom.
Element x y z (fractional)
Y: 0.0297 0.0297 0.3802  7 Si 2.92-3.23, 4 Ni 3.02-3.06
Y: 0.1018 0.1018 0.9215  7 Si 2.94-3.08
Y: 0.2476 0.2476 0.2275  6 Si 2.92-3.08, 2 Ni 3.18
Y: 0.7524 0.7524 0.7725  6 Si 2.92-3.08, 2 Ni 3.18
Y: 0.8982 0.8982 0.0785  7 Si 2.94-3.08
Y: 0.9703 0.9703 0.6198  7 Si 2.92-3.23, 4 Ni 3.02-3.06
Si: 0.3613 0.3613 0.4573  3 Ni 2.40-2.52
Si: 0.3865 0.3865 0.9238  2 Si 2.50-2.53
Si: 0.4521 0.4521 0.7635  1 Ni 2.47, 1 Si 2.50
Si: 0.5479 0.5479 0.2365  1 Ni 2.47, 1 Si 2.50
Si: 0.6135 0.6135 0.0762  2 Si 2.50-2.53
Si: 0.6387 0.6387 0.5427  3 Ni 2.40-2.52
Ni: 0.2532 0.2532 0.5971  4 Si 2.40-2.52
Ni: 0.7468 0.7468 0.4029  4 Si 2.40-2.52

Run x
DFT (GGA-PBE) results for a geometry-optimized Y3Si3Ni structure.

Output
size of the total moment: 0.0 μB/f.u.
space-group type: Imm2 (44)
density of states at the Fermi level: 0.739 states/eV per atom

Cell lengths 9.2085, 9.2085, 9.2085 Å; angles 155.35, 153.86, 36.23 degrees
With the nearest neighbours (Å) after each atom.
Element x y z (fractional)
Y: 0.0000 0.0000 0.0000  7 Si 2.95-3.10
Y: 0.1857 0.6857 0.5000  8 Si 3.05-3.30, 4 Ni 3.09
Y: 0.3662 0.3662 0.0000  2 Ni 2.89, 5 Si 2.96-3.03
Si: 0.5395 0.5395 0.0000  2 Si 2.47
Si: 0.6249 0.1249 0.5000  1 Ni 2.22, 2 Si 2.47
Si: 0.8229 0.8229 0.0000  2 Ni 2.33
Ni: 0.7517 0.2517 0.5000  3 Si 2.22-2.33

Stability verdict: run w, ahead by 0.036 eV/atom

Run w
DFT (GGA-PBE) results for a geometry-optimized ZnSi2Ni3 structure.

Output
size of the total moment: 0.0 μB/f.u.
space-group type: P6/mmm (191)
density of states at the Fermi level: 0.533 states/eV per atom

Cell lengths 4.9715, 4.9715, 3.7203 Å; angles 90.00, 90.00, 120.00 degrees
With the nearest neighbours (Å) after each atom.
Element x y z (fractional)
Zn: 0.0000 0.0000 0.0000  6 Ni 2.49
Si: 0.3333 0.6667 0.5000  6 Ni 2.35
Si: 0.6667 0.3333 0.5000  6 Ni 2.35
Ni: 0.0000 0.5000 0.0000  4 Si 2.35, 4 Ni 2.49, 2 Zn 2.49
Ni: 0.5000 0.0000 0.0000  4 Si 2.35, 4 Ni 2.49, 2 Zn 2.49
Ni: 0.5000 0.5000 0.0000  4 Si 2.35, 4 Ni 2.49, 2 Zn 2.49

Run x
DFT (GGA-PBE) results for a geometry-optimized ZnSi2Ni3 structure.

Output
size of the total moment: 0.0 μB/f.u.
space-group type: P1 (1)
density of states at the Fermi level: 0.306 states/eV per atom

Cell lengths 4.5317, 4.5421, 13.6439 Å; angles 88.44, 89.37, 89.23 degrees
With the nearest neighbours (Å) after each atom.
Element x y z (fractional)
Zn: 0.0000 0.0000 0.0000  7 Ni 2.45-2.50
Zn: 0.0018 0.9751 0.3363  7 Ni 2.46-2.55, 2 Zn 2.68-2.72, 1 Si 2.74
Zn: 0.4952 0.8192 0.4325  7 Ni 2.43-2.57, 2 Zn 2.68-2.72
Zn: 0.9960 0.0125 0.6676  7 Ni 2.42-2.50
Si: 0.3016 0.5000 0.9376  7 Ni 2.30-2.50
Si: 0.3034 0.5085 0.6032  5 Ni 2.25-2.45
Si: 0.3065 0.4899 0.2737  7 Ni 2.32-2.53
Si: 0.4936 0.8244 0.7673  7 Ni 2.29-2.51
Si: 0.4995 0.8111 0.0985  7 Ni 2.30-2.53
Si: 0.7997 0.3020 0.4972  6 Ni 2.31-2.51
Si: 0.8130 0.3058 0.8329  7 Ni 2.30-2.51
Si: 0.8223 0.2962 0.1652  7 Ni 2.27-2.51
Ni: 0.0046 0.7857 0.8364  5 Si 2.30-2.51, 2 Zn 2.46-2.50
Ni: 0.0125 0.7749 0.1689  5 Si 2.32-2.53, 2 Zn 2.48-2.50
Ni: 0.2835 0.3138 0.4376  4 Si 2.33-2.48, 3 Zn 2.43-2.50
Ni: 0.3048 0.3184 0.7699  6 Si 2.38-2.47, 1 Zn 2.46, 1 Ni 2.66
Ni: 0.3108 0.3089 0.1001  6 Si 2.36-2.53, 1 Zn 2.45, 1 Ni 2.63
Ni: 0.5008 0.0245 0.6009  4 Si 2.31-2.52, 3 Zn 2.43-2.50
Ni: 0.5050 0.0091 0.9264  5 Si 2.30-2.50, 2 Zn 2.47-2.49
Ni: 0.5081 0.0028 0.2526  4 Si 2.27-2.52, 1 Zn 2.52
Ni: 0.7761 0.5180 0.6725  4 Si 2.29-2.56, 2 Zn 2.47-2.49
Ni: 0.7841 0.5062 0.0023  5 Si 2.31-2.51, 2 Zn 2.46-2.49
Ni: 0.7878 0.4809 0.3308  4 Si 2.32-2.47, 3 Zn 2.46-2.48
Ni: 0.9933 0.7822 0.5096  3 Si 2.25-2.51, 4 Zn 2.42-2.50

Stability verdict: run x, ahead by 0.018 eV/atom

Run w
DFT (GGA-PBE) results for a geometry-optimized Sm3Ni2 structure.

Output
size of the total moment: 0.0 μB/f.u.
space-group type: P4/mbm (127)
density of states at the Fermi level: 0.912 states/eV per atom

Cell lengths 7.7009, 7.7009, 3.9029 Å; angles 90.00, 90.00, 90.00 degrees
With the nearest neighbours (Å) after each atom.
Element x y z (fractional)
Sm: 0.0000 0.0000 0.0000  4 Ni 3.07
Sm: 0.1662 0.3338 0.5000  6 Ni 2.96-3.05
Sm: 0.3338 0.8338 0.5000  6 Ni 2.96-3.05
Sm: 0.5000 0.5000 0.0000  4 Ni 3.07
Sm: 0.6662 0.1662 0.5000  6 Ni 2.96-3.05
Sm: 0.8338 0.6662 0.5000  6 Ni 2.96-3.05
Ni: 0.1189 0.6189 0.0000  1 Ni 2.59
Ni: 0.3811 0.1189 0.0000  1 Ni 2.59
Ni: 0.6189 0.8811 0.0000  1 Ni 2.59
Ni: 0.8811 0.3811 0.0000  1 Ni 2.59

Run x
DFT (GGA-PBE) results for a geometry-optimized Sm3Ni2 structure.

Output
size of the total moment: 0.0 μB/f.u.
space-group type: R-3c (167)
density of states at the Fermi level: 0.669 states/eV per atom

Cell lengths 7.3588, 7.3588, 7.3588 Å; angles 55.42, 55.42, 55.42 degrees
With the nearest neighbours (Å) after each atom.
Element x y z (fractional)
Sm: 0.1240 0.7500 0.3760  4 Ni 2.83-2.87
Sm: 0.2500 0.6240 0.8760  4 Ni 2.83-2.87
Sm: 0.3760 0.1240 0.7500  4 Ni 2.83-2.87
Sm: 0.6240 0.8760 0.2500  4 Ni 2.83-2.87
Sm: 0.7500 0.3760 0.1240  4 Ni 2.83-2.87
Sm: 0.8760 0.2500 0.6240  4 Ni 2.83-2.87
Ni: 0.1850 0.1850 0.1850  1 Ni 2.42
Ni: 0.3150 0.3150 0.3150  1 Ni 2.42
Ni: 0.6850 0.6850 0.6850  1 Ni 2.42
Ni: 0.8150 0.8150 0.8150  1 Ni 2.42

Stability verdict: run w, ahead by 0.023 eV/atom

Run w
DFT (GGA-PBE) results for a geometry-optimized Sm2NiSn4 structure.

Output
size of the total moment: 0.0 μB/f.u.
space-group type: Pnma (62)
density of states at the Fermi level: 0.470 states/eV per atom

Cell lengths 17.0610, 4.5045, 8.9794 Å; angles 90.00, 90.00, 90.00 degrees
With the nearest neighbours (Å) after each atom.
Element x y z (fractional)
Sm: 0.1468 0.2500 0.1088  9 Sn 3.26-3.46, 3 Ni 3.52-3.57
Sm: 0.1486 0.2500 0.6345  9 Sn 3.24-3.51, 2 Ni 3.34
Sm: 0.3514 0.7500 0.1345  9 Sn 3.24-3.51, 2 Ni 3.34
Sm: 0.3532 0.7500 0.6088  9 Sn 3.26-3.46, 3 Ni 3.52-3.57
Sm: 0.6468 0.2500 0.3912  9 Sn 3.26-3.46, 3 Ni 3.52-3.57
Sm: 0.6486 0.2500 0.8655  9 Sn 3.24-3.51, 2 Ni 3.34
Sm: 0.8514 0.7500 0.3655  9 Sn 3.24-3.51, 2 Ni 3.34
Sm: 0.8532 0.7500 0.8912  9 Sn 3.26-3.46, 3 Ni 3.52-3.57
Ni: 0.0617 0.7500 0.8547  5 Sn 2.51-2.62
Ni: 0.4383 0.2500 0.3547  5 Sn 2.51-2.62
Ni: 0.5617 0.7500 0.6453  5 Sn 2.51-2.62
Ni: 0.9383 0.2500 0.1453  5 Sn 2.51-2.62
Sn: 0.0085 0.2500 0.3912  1 Ni 2.51
Sn: 0.0089 0.7500 0.1290  3 Ni 2.56-2.62
Sn: 0.1748 0.7500 0.3726  2 Sn 2.99, 4 Sm 3.29-3.30
Sn: 0.2097 0.7500 0.8706  1 Ni 2.53
Sn: 0.2903 0.2500 0.3706  1 Ni 2.53
Sn: 0.3252 0.2500 0.8726  2 Sn 2.99, 4 Sm 3.29-3.30
Sn: 0.4911 0.2500 0.6290  3 Ni 2.56-2.62
Sn: 0.4915 0.7500 0.8912  1 Ni 2.51
Sn: 0.5085 0.2500 0.1088  1 Ni 2.51
Sn: 0.5089 0.7500 0.3710  3 Ni 2.56-2.62
Sn: 0.6748 0.7500 0.1274  2 Sn 2.99, 4 Sm 3.29-3.30
Sn: 0.7097 0.7500 0.6294  1 Ni 2.53
Sn: 0.7903 0.2500 0.1294  1 Ni 2.53
Sn: 0.8252 0.2500 0.6274  2 Sn 2.99, 4 Sm 3.29-3.30
Sn: 0.9911 0.2500 0.8710  3 Ni 2.56-2.62
Sn: 0.9915 0.7500 0.6088  1 Ni 2.51

Run x
DFT (GGA-PBE) results for a geometry-optimized Sm2NiSn4 structure.

Output
size of the total moment: 0.0 μB/f.u.
space-group type: Amm2 (38)
density of states at the Fermi level: 0.463 states/eV per atom

Cell lengths 4.4850, 8.9833, 8.9833 Å; angles 28.84, 90.00, 90.00 degrees
With the nearest neighbours (Å) after each atom.
Element x y z (fractional)
Sm: 0.0000 0.0000 0.0000  10 Sn 3.24-3.44, 1 Ni 3.60
Sm: 0.5000 0.2073 0.2073  10 Sn 3.32-3.68, 4 Ni 3.50
Ni: 0.0000 0.7929 0.7929  5 Sn 2.49-2.54
Sn: 0.0000 0.3625 0.3625  2 Ni 2.54
Sn: 0.0000 0.6500 0.6500  1 Ni 2.49
Sn: 0.5000 0.5396 0.5396  2 Sn 2.95, 4 Sm 3.24
Sn: 0.5000 0.8618 0.8618  2 Ni 2.54

Stability verdict: run w, ahead by 0.018 eV/atom

Run w
DFT (GGA-PBE) results for a geometry-optimized TbSm2Ni structure.

Output
size of the total moment: 0.0 μB/f.u.
space-group type: Pnma (62)
density of states at the Fermi level: 1.006 states/eV per atom

Cell lengths 6.9423, 9.8398, 6.3701 Å; angles 90.00, 90.00, 90.00 degrees
With the nearest neighbours (Å) after each atom.
Element x y z (fractional)
Tb: 0.0352 0.2500 0.1459  2 Ni 2.77-2.81
Tb: 0.4648 0.7500 0.6459  2 Ni 2.77-2.81
Tb: 0.5352 0.2500 0.3541  2 Ni 2.77-2.81
Tb: 0.9648 0.7500 0.8541  2 Ni 2.77-2.81
Sm: 0.1790 0.0663 0.6756  2 Ni 2.81-2.87
Sm: 0.1790 0.4337 0.6756  2 Ni 2.81-2.87
Sm: 0.3210 0.5663 0.1756  2 Ni 2.81-2.87
Sm: 0.3210 0.9337 0.1756  2 Ni 2.81-2.87
Sm: 0.6790 0.0663 0.8244  2 Ni 2.81-2.87
Sm: 0.6790 0.4337 0.8244  2 Ni 2.81-2.87
Sm: 0.8210 0.5663 0.3244  2 Ni 2.81-2.87
Sm: 0.8210 0.9337 0.3244  2 Ni 2.81-2.87
Ni: 0.1121 0.7500 0.4426  2 Tb 2.77-2.81, 4 Sm 2.81-2.87
Ni: 0.3879 0.2500 0.9426  2 Tb 2.77-2.81, 4 Sm 2.81-2.87
Ni: 0.6121 0.7500 0.0574  2 Tb 2.77-2.81, 4 Sm 2.81-2.87
Ni: 0.8879 0.2500 0.5574  2 Tb 2.77-2.81, 4 Sm 2.81-2.87

Run x
DFT (GGA-PBE) results for a geometry-optimized TbSm2Ni structure.

Output
size of the total moment: 0.0 μB/f.u.
space-group type: R3m (160)
density of states at the Fermi level: 1.225 states/eV per atom

Cell lengths 9.3835, 9.3835, 9.3835 Å; angles 23.50, 23.50, 23.50 degrees
With the nearest neighbours (Å) after each atom.
Element x y z (fractional)
Tb: 0.0000 0.0000 0.0000  6 Sm 3.63-3.66, 6 Tb 3.82
Sm: 0.5598 0.5598 0.5598  3 Ni 2.77
Sm: 0.7719 0.7719 0.7719  3 Ni 2.75
Ni: 0.1653 0.1653 0.1653  6 Sm 2.75-2.77

Stability verdict: run w, ahead by 0.154 eV/atom

Run w
DFT (GGA-PBE) results for a geometry-optimized TbSmNi structure.

Output
size of the total moment: 0.0 μB/f.u.
space-group type: Pmma (51)
density of states at the Fermi level: 1.017 states/eV per atom

Cell lengths 14.8911, 3.7123, 8.0580 Å; angles 90.00, 90.00, 90.00 degrees
With the nearest neighbours (Å) after each atom.
Element x y z (fractional)
Tb: 0.1139 0.0000 0.0905  3 Ni 2.80-2.81
Tb: 0.2500 0.0000 0.7573  2 Ni 2.80
Tb: 0.3861 0.0000 0.0905  3 Ni 2.80-2.81
Tb: 0.6139 0.0000 0.9095  3 Ni 2.80-2.81
Tb: 0.7500 0.0000 0.2427  2 Ni 2.80
Tb: 0.8861 0.0000 0.9095  3 Ni 2.80-2.81
Sm: 0.0546 0.5000 0.6904  4 Ni 2.82-3.03
Sm: 0.2500 0.5000 0.3831  5 Ni 2.94-3.04
Sm: 0.4454 0.5000 0.6904  4 Ni 2.82-3.03
Sm: 0.5546 0.5000 0.3096  4 Ni 2.82-3.03
Sm: 0.7500 0.5000 0.6169  5 Ni 2.94-3.04
Sm: 0.9454 0.5000 0.3096  4 Ni 2.82-3.03
Ni: 0.0911 0.0000 0.4355  1 Tb 2.80, 6 Sm 2.82-3.04, 1 Ni 2.91
Ni: 0.2500 0.5000 0.0181  6 Tb 2.80-2.81, 1 Sm 2.94
Ni: 0.4089 0.0000 0.4355  1 Tb 2.80, 6 Sm 2.82-3.04, 1 Ni 2.91
Ni: 0.5911 0.0000 0.5645  1 Tb 2.80, 6 Sm 2.82-3.04, 1 Ni 2.91
Ni: 0.7500 0.5000 0.9819  6 Tb 2.80-2.81, 1 Sm 2.94
Ni: 0.9089 0.0000 0.5645  1 Tb 2.80, 6 Sm 2.82-3.04, 1 Ni 2.91

Run x
DFT (GGA-PBE) results for a geometry-optimized TbSmNi structure.

Output
size of the total moment: 0.0 μB/f.u.
space-group type: I4mm (107)
density of states at the Fermi level: 1.060 states/eV per atom

Cell lengths 6.7530, 6.7530, 6.7530 Å; angles 150.42, 150.42, 42.32 degrees
With the nearest neighbours (Å) after each atom.
Element x y z (fractional)
Tb: 0.0000 0.0000 0.0000  4 Ni 2.90
Sm: 0.2613 0.2613 0.0000  4 Ni 2.99, 1 Tb 3.29
Ni: 0.6245 0.6245 0.0000  4 Tb 2.90, 4 Sm 2.99

Stability verdict: run w, ahead by 0.057 eV/atom